Record 1
Below is crystalline Li3Ge2Br7 at its relaxed geometry, with properties calculated at the PBE level.

Computed properties:
Fermi-level density of states = 0.0 states/eV/f.u.
Symmetry = No. 36
VASP energy = -38.77 eV/f.u.
Calculated volume = 27.262 A^3/atom
Total moment = 0.00 Bohr magnetons per cell

a b c (Å): 13.0361 13.0361 7.4027
angles (deg): 90.00 90.00 31.34
Sites, in units of the cell vectors:
Li (0.0961, 0.5417, 0.5939)
Li (0.2023, 0.7977, 0.5000)
Li (0.4583, 0.9039, 0.5939)
Li (0.5417, 0.0961, 0.0939)
Li (0.7977, 0.2023, 0.0000)
Li (0.9039, 0.4583, 0.0939)
Ge (0.1434, 0.6380, 0.0125)
Ge (0.3620, 0.8566, 0.0125)
Ge (0.6380, 0.1434, 0.5125)
Ge (0.8566, 0.3620, 0.5125)
Br (0.0828, 0.2209, 0.8035)
Br (0.1179, 0.8821, 0.1597)
Br (0.1898, 0.4006, 0.9413)
Br (0.2209, 0.0828, 0.3035)
Br (0.3162, 0.5248, 0.6507)
Br (0.4006, 0.1898, 0.4413)
Br (0.4752, 0.6838, 0.6507)
Br (0.5248, 0.3162, 0.1507)
Br (0.5994, 0.8102, 0.9413)
Br (0.6838, 0.4752, 0.1507)
Br (0.7791, 0.9172, 0.8035)
Br (0.8102, 0.5994, 0.4413)
Br (0.8821, 0.1179, 0.6597)
Br (0.9172, 0.7791, 0.3035)

***

Record 2
Below is crystalline Na2CrCl at its relaxed geometry, with properties calculated at the PBE level.

Computed properties:
Fermi-level density of states = 1.0 states/eV/f.u.
Symmetry = No. 225
VASP energy = -13.77 eV/f.u.
Calculated volume = 26.972 A^3/atom
Total moment = 5.05 Bohr magnetons per cell
Polymorph energy (0 for the lowest one) = 231 kJ/mol of formula units

a b c (Å): 5.3436 5.3436 5.3436
angles (deg): 60.00 60.00 60.00
Sites, in units of the cell vectors:
Na (0.2500, 0.2500, 0.2500)
Na (0.7500, 0.7500, 0.7500)
Cr (0.0000, 0.0000, 0.0000)
Cl (0.5000, 0.5000, 0.5000)